Entry 1:
## Tb5SmAl (PBE)

Data for crystalline Tb5SmAl at its relaxed geometry. Values from VASP.

The structure in Quantum ESPRESSO input format:
```
&SYSTEM
  ibrav = 0, nat = 7, ntyp = 3
/
ATOMIC_SPECIES
Tb 158.93 Tb.upf
Sm 150.36 Sm.upf
Al 26.98 Al.upf
CELL_PARAMETERS angstrom
6.0919 0.0000 0.0000
0.0000 7.7259 0.0000
-3.0459 -3.8629 5.7809
ATOMIC_POSITIONS crystal
Tb 0.3522 0.2545 0.5090
Tb 0.0708 0.5000 0.0000
Tb 0.8431 0.7455 0.4910
Tb 0.3889 0.1855 0.0000
Tb 0.3889 0.8145 0.0000
Sm 0.8737 0.0000 0.0000
Al 0.6130 0.5000 0.0000
```

Summary:
Formation enthalpy at 0 K in eV per atom: 0.704
Total moment in μB/atom: 0.000
Space group: Imm2
Calculated volume in Å³/atom: 38.868



Entry 2:
## Tb2Sm4Al (PBE)

Data for crystalline Tb2Sm4Al at its relaxed geometry. Values from VASP.

The structure in Quantum ESPRESSO input format:
```
&SYSTEM
  ibrav = 0, nat = 7, ntyp = 3
/
ATOMIC_SPECIES
Tb 158.93 Tb.upf
Sm 150.36 Sm.upf
Al 26.98 Al.upf
CELL_PARAMETERS angstrom
-1.1866 -3.3236 0.9214
-0.3632 -2.5794 -2.5530
17.6626 -7.5982 2.5583
ATOMIC_POSITIONS crystal
Tb 0.8087 0.8087 0.5740
Tb 0.1913 0.1913 0.4260
Sm 0.7062 0.7062 0.8814
Sm 0.9077 0.9077 0.2769
Sm 0.2938 0.2938 0.1186
Sm 0.0923 0.0923 0.7231
Al 0.0000 0.0000 0.0000
```

Summary:
Formation enthalpy at 0 K in eV per atom: -0.020
Total moment in μB/atom: 0.000
Space group: R-3m
Calculated volume in Å³/atom: 31.736



Entry 3:
## TbSmAl (PBE)

Data for crystalline TbSmAl at its relaxed geometry. Values from VASP.

The structure in Quantum ESPRESSO input format:
```
&SYSTEM
  ibrav = 0, nat = 3, ntyp = 3
/
ATOMIC_SPECIES
Al 26.98 Al.upf
Sm 150.36 Sm.upf
Tb 158.93 Tb.upf
CELL_PARAMETERS angstrom
-2.4163 2.0445 1.7712
0.8157 -3.4255 0.8280
5.8403 2.5932 4.9742
ATOMIC_POSITIONS crystal
Al 0.5000 0.0000 0.1982
Sm 0.5000 0.5000 0.8962
Tb 0.0000 0.0000 0.4937
```

Summary:
Formation enthalpy at 0 K in eV per atom: 0.077
Energy relative to the lowest polymorph listed for this composition in kcal/mol of atoms: 7.090
Total moment in μB/atom: 0.000
Space group: P2
Calculated volume in Å³/atom: 29.044



Entry 4:
## TbSm3Al8 (PBE)

Data for crystalline TbSm3Al8 at its relaxed geometry. Values from VASP.

The structure in Quantum ESPRESSO input format:
```
&SYSTEM
  ibrav = 0, nat = 12, ntyp = 3
/
ATOMIC_SPECIES
Tb 158.93 Tb.upf
Sm 150.36 Sm.upf
Al 26.98 Al.upf
CELL_PARAMETERS angstrom
-0.5651 -1.1858 5.4618
-4.2947 -3.1662 1.7571
3.5052 -9.0203 1.2931
ATOMIC_POSITIONS crystal
Tb 0.8753 0.8753 0.3741
Sm 0.3751 0.3751 0.8748
Sm 0.9997 0.9997 0.0008
Sm 0.4999 0.4999 0.5002
Al 0.9369 0.4372 0.1887
Al 0.4383 0.9377 0.6863
Al 0.4372 0.4372 0.1887
Al 0.9377 0.9377 0.6863
Al 0.1876 0.1876 0.4371
Al 0.6874 0.6874 0.9379
Al 0.4372 0.9369 0.1887
Al 0.9377 0.4383 0.6863
```

Summary:
Formation enthalpy at 0 K in eV per atom: -0.513
Energy relative to the lowest polymorph listed for this composition in kcal/mol of atoms: 0.000
Total moment in μB/atom: 0.000
Space group: R3m
Calculated volume in Å³/atom: 20.973